SrV6O11: optimized geometry, PBEsol.

Calculated values
Magnetic moment (μB per atom): 0.222
ΔE_f (raw) (eV/atom): -2.491

Cell and atoms, written as CIF:
```
data_SrV6O11
_space_group_name_H-M_alt 'P 63 m c'
_space_group_IT_number 186
_space_group_name_Hall 'P 6c -2c'
_cell_length_a 5.6547
_cell_length_b 5.6547
_cell_length_c 13.1422
_cell_angle_alpha 90.00
_cell_angle_beta 90.00
_cell_angle_gamma 120.00
loop_
_atom_site_label
_atom_site_fract_x
_atom_site_fract_y
_atom_site_fract_z
_atom_site_occupancy
Sr1 0.3333 0.6667 0.0000 1
V1 0.0000 0.0000 0.1156 1
V2 0.0000 0.0000 0.4105 1
V3 0.0384 0.5192 0.2671 1
V4 0.3333 0.6667 0.5372 1
O1 0.1522 0.3043 0.5137 1
O2 0.1711 0.3422 0.8440 1
O3 0.1714 0.3428 0.1801 1
O4 0.3333 0.6667 0.3682 1
O5 0.3333 0.6667 0.6811 1
```